[1]
Material: PmN2
Method: DFT, PBE
State: optimized geometry

It has space group C2/m (No. 12), with a = 5.183 Å, b = 5.060 Å, c = 3.915 Å, α = 90.00°, β = 127.91° and γ = 90.00°. The inequivalent atoms are Pm at (0.000, 0.000, 0.000) and N at (0.129, 0.500, 0.208).

Its raw total energy is -7.843 eV/atom.

---

[2]
Material: Pm5N4
Method: DFT, PBE
State: optimized geometry

It has space group I4/mmm (No. 139), with a = 10.711 Å, b = 10.711 Å, c = 3.199 Å, α = 90.00°, β = 90.00° and γ = 90.00°. The inequivalent atoms are Pm at (0.000, 0.000, 0.000), Pm at (0.000, 0.259, 0.000) and N at (0.139, 0.139, 0.500).

The value obtained for the excess energy over the best structure of this formula in the dataset is 70.9 kJ/mol of atoms.

---

[3]
Material: Pm3Pr5N8
Method: DFT, PBE
State: optimized geometry

It has space group R-3m (No. 166, hexagonal axes), with a = 7.3262 Å, b = 7.3262 Å, c = 17.9480 Å, α = 90.00°, β = 90.00° and γ = 120.00°. The inequivalent atoms are Pm at (0.0000, 0.5000, 0.0000), Pr at (0.0000, 0.0000, 0.0000), Pr at (0.0000, 0.0000, 0.5000), Pr at (0.0000, 0.5000, 0.5000), N at (0.0000, 0.0000, 0.2515) and N at (0.0021, 0.5010, 0.2510).

Its raw total energy is -7.886 eV/atom.

---

[4]
Material: Pm2PrN2
Method: DFT, PBE
State: optimized geometry

It has space group C2/m (No. 12), with a = 11.585 Å, b = 5.136 Å, c = 7.430 Å, α = 90.00°, β = 109.45° and γ = 90.00°. The inequivalent atoms are Pm at (0.006, 0.000, 0.230), Pm at (0.162, 0.500, 0.071), Pr at (0.158, 0.500, 0.595), N at (0.004, 0.500, 0.757) and N at (0.163, 0.000, 0.079).

The value obtained for the excess energy over the best structure of this formula in the dataset is 0.4 kJ/mol of atoms.

---

[5]
Material: PmPr4N4
Method: DFT, PBE
State: optimized geometry

It has space group I4/m (No. 87), with a = 8.252 Å, b = 8.252 Å, c = 5.223 Å, α = 90.00°, β = 90.00° and γ = 90.00°. The inequivalent atoms are Pm at (0.000, 0.000, 0.000), Pr at (0.111, 0.687, 0.500) and N at (0.094, 0.707, 0.000).

The value obtained for the excess energy over the best structure of this formula in the dataset is 0.0 kJ/mol of atoms.

---

[6]
Material: Pm3PrN4
Method: DFT, PBE
State: optimized geometry

It has space group Cmmm (No. 65), with a = 7.270 Å, b = 10.272 Å, c = 3.635 Å, α = 90.00°, β = 90.00° and γ = 90.00°. The inequivalent atoms are Pm at (0.000, 0.000, 0.000), Pm at (0.250, 0.250, 0.500), Pr at (0.000, 0.500, 0.000), N at (0.000, 0.248, 0.000) and N at (0.247, 0.000, 0.500).

The value obtained for the excess energy over the best structure of this formula in the dataset is 0.0 kJ/mol of atoms.

---

[7]
Material: PmPr5N5
Method: DFT, PBE
State: optimized geometry

It has space group C2/m (No. 12), with a = 11.616 Å, b = 5.220 Å, c = 7.360 Å, α = 90.00°, β = 108.50° and γ = 90.00°. The inequivalent atoms are Pm at (0.000, 0.000, 0.000), Pr at (0.000, 0.000, 0.500), Pr at (0.171, 0.500, 0.846), Pr at (0.174, 0.500, 0.327), N at (0.000, 0.500, 0.000), N at (0.164, 0.000, 0.333) and N at (0.169, 0.000, 0.835).

Its raw total energy is -7.575 eV/atom.

---

[8]
Material: Pm3PrN
Method: DFT, PBE
State: optimized geometry

It has space group Pm-3m (No. 221), with a = 5.134 Å, b = 5.134 Å, c = 5.134 Å, α = 90.00°, β = 90.00° and γ = 90.00°. The inequivalent atoms are Pm at (0.000, 0.000, 0.500), Pr at (0.500, 0.500, 0.500) and N at (0.000, 0.000, 0.000).

Its raw total energy is -5.914 eV/atom.

---

[9]
Material: PmPr4N4
Method: DFT, PBE
State: optimized geometry

It has space group I-42m (No. 121), with a = 6.023 Å, b = 6.023 Å, c = 11.192 Å, α = 90.00°, β = 90.00° and γ = 90.00°. The inequivalent atoms are Pm at (0.000, 0.000, 0.000), Pr at (0.000, 0.000, 0.287), Pr at (0.000, 0.500, 0.000) and N at (0.235, 0.235, 0.119).

The value obtained for the excess energy over the best structure of this formula in the dataset is 49.7 kJ/mol of atoms.

---

[10]
Material: Pm2Pr3N4
Method: DFT, PBE
State: optimized geometry

It has space group C2/m (No. 12), with a = 6.328 Å, b = 3.654 Å, c = 15.335 Å, α = 90.00°, β = 90.07° and γ = 90.00°. The inequivalent atoms are Pm at (0.167, 0.000, 0.189), Pr at (0.000, 0.500, 0.000), Pr at (0.166, 0.000, 0.621), N at (0.001, 0.500, 0.298) and N at (0.166, 0.000, 0.898).

Its raw total energy is -7.560 eV/atom.

---

[11]
Material: Pm3PrN3
Method: DFT, PBE
State: optimized geometry

It has space group R-3 (No. 148, hexagonal axes), with a = 6.3543 Å, b = 6.3543 Å, c = 27.5877 Å, α = 90.00°, β = 90.00° and γ = 120.00°. The inequivalent atoms are Pm at (0.0001, 0.3167, 0.3992), Pr at (0.0000, 0.0000, 0.1667) and N at (0.9996, 0.3660, 0.5618).

The value obtained for the excess energy over the best structure of this formula in the dataset is 14.4 kJ/mol of atoms.

---

[12]
Material: PmPr8N6
Method: DFT, PBE
State: optimized geometry

It has space group R-3 (No. 148, hexagonal axes), with a = 6.3862 Å, b = 6.3862 Å, c = 28.2100 Å, α = 90.00°, β = 90.00° and γ = 120.00°. The inequivalent atoms are Pm at (0.0000, 0.0000, 0.0000), Pr at (0.0000, 0.0000, 0.3333), Pr at (0.0004, 0.3334, 0.4346) and N at (0.0000, 0.3295, 0.9441).

Its raw total energy is -7.252 eV/atom.

---

[13]
Material: PmPr2N3
Method: DFT, PBE
State: optimized geometry

It has space group Pnma (No. 62), with a = 7.336 Å, b = 5.182 Å, c = 11.008 Å, α = 90.00°, β = 90.00° and γ = 90.00°. The inequivalent atoms are Pm at (0.126, 0.250, 0.083), Pr at (0.126, 0.250, 0.751), Pr at (0.127, 0.250, 0.417), N at (0.125, 0.750, 0.082), N at (0.131, 0.750, 0.749) and N at (0.134, 0.750, 0.419).

Its raw total energy is -7.881 eV/atom.

---

[14]
Material: PmPr3N3
Method: DFT, PBE
State: optimized geometry

It has space group P6_3/mmc (No. 194), with a = 8.3502 Å, b = 8.3502 Å, c = 5.3532 Å, α = 90.00°, β = 90.00° and γ = 120.00°. The inequivalent atoms are Pm at (0.3333, 0.6667, 0.2500), Pr at (0.1650, 0.3300, 0.7500) and N at (0.1668, 0.3336, 0.2500).

The value obtained for the excess energy over the best structure of this formula in the dataset is 0.0 kJ/mol of atoms.

---

[15]
Material: Pm2Pr5N5
Method: DFT, PBE
State: optimized geometry

It has space group C2/m (No. 12), with a = 12.337 Å, b = 3.548 Å, c = 12.590 Å, α = 90.00°, β = 100.31° and γ = 90.00°. The inequivalent atoms are Pm at (0.067, 0.000, 0.320), Pr at (0.000, 0.500, 0.000), Pr at (0.149, 0.500, 0.563), Pr at (0.224, 0.500, 0.875), N at (0.000, 0.000, 0.500), N at (0.137, 0.000, 0.959) and N at (0.189, 0.500, 0.382).

Its raw total energy is -7.173 eV/atom.

---

[16]
Material: Pm2PrN2
Method: DFT, PBE
State: optimized geometry

It has space group Immm (No. 71), with a = 3.631 Å, b = 5.154 Å, c = 11.209 Å, α = 90.00°, β = 90.00° and γ = 90.00°. The inequivalent atoms are Pm at (0.000, 0.000, 0.182), Pr at (0.000, 0.000, 0.500) and N at (0.000, 0.500, 0.174).

The value obtained for the excess energy over the best structure of this formula in the dataset is 0.0 kJ/mol of atoms.

---

[17]
Material: PmPr3N3
Method: DFT, PBE
State: optimized geometry

It has space group C2/m (No. 12), with a = 7.439 Å, b = 11.610 Å, c = 8.417 Å, α = 90.00°, β = 104.93° and γ = 90.00°. The inequivalent atoms are Pm at (0.194, 0.000, 0.218), Pr at (0.000, 0.281, 0.500), Pr at (0.000, 0.345, 0.000), Pr at (0.191, 0.000, 0.639), N at (0.001, 0.500, 0.186) and N at (0.179, 0.129, 0.420).

The value obtained for the excess energy over the best structure of this formula in the dataset is 15.0 kJ/mol of atoms.

---

[18]
Material: Pm3PrN3
Method: DFT, PBE
State: optimized geometry

It has space group Pm-3m (No. 221), with a = 5.140 Å, b = 5.140 Å, c = 5.140 Å, α = 90.00°, β = 90.00° and γ = 90.00°. The inequivalent atoms are Pm at (0.000, 0.000, 0.500), Pr at (0.500, 0.500, 0.500) and N at (0.000, 0.500, 0.500).

The value obtained for the excess energy over the best structure of this formula in the dataset is 0.0 kJ/mol of atoms.

---

[19]
Material: Pm5PrN6
Method: DFT, PBE
State: optimized geometry

It has space group C2/m (No. 12), with a = 6.282 Å, b = 10.881 Å, c = 6.282 Å, α = 90.00°, β = 109.47° and γ = 90.00°. The inequivalent atoms are Pm at (0.000, 0.000, 0.000), Pm at (0.000, 0.167, 0.500), Pm at (0.000, 0.333, 0.000), Pr at (0.000, 0.500, 0.500), N at (0.247, 0.000, 0.751) and N at (0.248, 0.168, 0.248).

Its raw total energy is -7.951 eV/atom.

---

[20]
Material: Pm3PrN4
Method: DFT, PBE
State: optimized geometry

It has space group Pm-3m (No. 221), with a = 5.139 Å, b = 5.139 Å, c = 5.139 Å, α = 90.00°, β = 90.00° and γ = 90.00°. The inequivalent atoms are Pm at (0.000, 0.000, 0.500), Pr at (0.500, 0.500, 0.500), N at (0.000, 0.000, 0.000) and N at (0.000, 0.500, 0.500).

The value obtained for the excess energy over the best structure of this formula in the dataset is 0.3 kJ/mol of atoms.

---

[21]
Material: Pm3Pr2N4
Method: DFT, PBE
State: optimized geometry

It has space group C2/m (No. 12), with a = 12.135 Å, b = 3.635 Å, c = 9.040 Å, α = 90.00°, β = 119.57° and γ = 90.00°. The inequivalent atoms are Pm at (0.000, 0.000, 0.000), Pm at (0.207, 0.000, 0.815), Pr at (0.106, 0.500, 0.385), N at (0.106, 0.500, 0.907) and N at (0.197, 0.000, 0.300).

Its raw total energy is -7.583 eV/atom.